Compound: BeNi3F
Source: Alexandria via LeMat-Bulk
Functional: GGA+U
Structure: relaxed

abc: 3.998 3.998 3.998
angles: 90.00 90.00 90.00
Space group Pm-3m (No. 221)
Asymmetric unit:
Be  0.000  0.000  0.000 [1 per cell]
Ni  0.000  0.500  0.500 [3 per cell]
F  0.500  0.500  0.500 [1 per cell]

Its crystal system is cubic. Its offset from the most stable computed form is 0.0000 eV per atom. The spin magnetization comes out at 2.90 Bohr magnetons per cell.